(1)
VASP calculation (GGA-PBEsol) on AlAgMoBr2 after structural relaxation.

a = 4.8381 Å, b = 4.8381 Å, c = 5.4010 Å
α = 90.00°, β = 90.00°, γ = 90.00°
With the nearest neighbours (Å) after each atom.
Atoms (fractional coordinates):
Al1 0.0000 0.0000 0.0000  4 Ag 3.42, 8 Br 3.63
Ag1 0.5000 0.5000 0.0000  2 Mo 2.70
Mo1 0.5000 0.5000 0.5000  4 Br 2.42, 2 Ag 2.70
Br1 0.0000 0.5000 0.5000  2 Mo 2.42
Br2 0.5000 0.0000 0.5000  2 Mo 2.42

Output
Raw total energy (eV per atom): -3.945
Calculated density (g/cm3): 5.13
Size of the total moment (μB per formula unit): 0.004

---

(2)
VASP calculation (GGA-PBEsol) on Na3Al3Si3AgBrO12 after structural relaxation.

a = 8.9407 Å, b = 8.9407 Å, c = 8.9410 Å
α = 90.01°, β = 90.01°, γ = 90.00°
With the nearest neighbours (Å) after each atom.
Atoms (fractional coordinates):
Na1 0.0633 0.9367 0.5000  3 O 2.33-2.34
Na2 0.0640 0.5637 0.8703  3 O 2.32-2.33
Na3 0.4338 0.9324 0.8731  3 O 2.32-2.33
Na4 0.5637 0.0640 0.3703  3 O 2.32-2.33
Na5 0.9324 0.4338 0.3731  3 O 2.32-2.33
Na6 0.9367 0.0633 0.0000  3 O 2.33-2.34
Al1 0.2501 0.2511 0.4352  4 O 1.75
Al2 0.2511 0.2501 0.9352  4 O 1.75
Al3 0.4993 0.7463 0.1875  4 O 1.75-1.76
Al4 0.7463 0.4993 0.6875  4 O 1.75-1.76
Al5 0.7491 0.9991 0.6865  4 O 1.75
Al6 0.9991 0.7491 0.1865  4 O 1.75
Si1 0.2492 0.4991 0.1857  4 O 1.63-1.64
Si2 0.2496 0.9992 0.1870  4 O 1.63
Si3 0.4991 0.2492 0.6857  4 O 1.63-1.64
Si4 0.7481 0.7495 0.9357  4 O 1.63-1.64
Si5 0.7495 0.7481 0.4357  4 O 1.63-1.64
Si6 0.9992 0.2496 0.6870  4 O 1.63
Ag1 0.4164 0.5819 0.5201  3 O 2.42-2.44, 1 Br 2.55
Ag2 0.5819 0.4164 0.0201  3 O 2.42-2.44, 1 Br 2.55
Br1 0.2503 0.7482 0.6812  1 Ag 2.55
Br2 0.7482 0.2503 0.1812  1 Ag 2.55
O1 0.0984 0.3102 0.8280  1 Si 1.63, 1 Al 1.75
O2 0.1003 0.1913 0.5464  1 Si 1.63, 1 Al 1.75
O3 0.1070 0.9014 0.2461  1 Si 1.63, 1 Al 1.75
O4 0.1108 0.6013 0.1237  1 Si 1.63, 1 Al 1.75
O5 0.1839 0.3947 0.3202  1 Si 1.63, 1 Al 1.75
O6 0.1913 0.1003 0.0464  1 Si 1.63, 1 Al 1.75
O7 0.3102 0.0984 0.3280  1 Si 1.63, 1 Al 1.75
O8 0.3118 0.4018 0.0436  1 Si 1.64, 1 Al 1.75
O9 0.3877 0.5986 0.2520  1 Si 1.64, 1 Al 1.75
O10 0.3884 0.8965 0.1272  1 Si 1.63, 1 Al 1.75
O11 0.3947 0.1839 0.8202  1 Si 1.63, 1 Al 1.75
O12 0.4018 0.3118 0.5436  1 Si 1.64, 1 Al 1.75
O13 0.5986 0.3877 0.7520  1 Si 1.64, 1 Al 1.75
O14 0.6013 0.1108 0.6237  1 Si 1.63, 1 Al 1.75
O15 0.6070 0.6874 0.0343  1 Si 1.64, 1 Al 1.76
O16 0.6138 0.8118 0.3320  1 Si 1.63, 1 Al 1.75
O17 0.6874 0.6070 0.5343  1 Si 1.64, 1 Al 1.76
O18 0.6872 0.8915 0.8379  1 Si 1.64, 1 Al 1.75
O19 0.8096 0.8875 0.5376  1 Si 1.63, 1 Al 1.75
O20 0.8118 0.6138 0.8320  1 Si 1.63, 1 Al 1.75
O21 0.8875 0.8096 0.0376  1 Si 1.63, 1 Al 1.75
O22 0.8915 0.6872 0.3379  1 Si 1.64, 1 Al 1.75
O23 0.8965 0.3884 0.6272  1 Si 1.63, 1 Al 1.75
O24 0.9014 0.1070 0.7461  1 Si 1.63, 1 Al 1.75

Output
Raw total energy (eV per atom): -6.961
Calculated density (g/cm3): 2.85
Size of the total moment (μB per formula unit): 0.142

---

(3)
VASP calculation (GGA-PBEsol) on AlAgSeBr2 after structural relaxation.

a = 5.1640 Å, b = 5.1640 Å, c = 5.0665 Å
α = 90.00°, β = 90.00°, γ = 90.00°
With the nearest neighbours (Å) after each atom.
Atoms (fractional coordinates):
Al1 0.0000 0.0000 0.0000  8 Br 3.62, 4 Se 3.65
Ag1 0.5000 0.5000 0.5000  2 Se 2.53, 4 Br 2.58
Se1 0.5000 0.5000 0.0000  2 Ag 2.53
Br1 0.0000 0.5000 0.5000  2 Ag 2.58
Br2 0.5000 0.0000 0.5000  2 Ag 2.58

Output
Raw total energy (eV per atom): -2.799
Calculated density (g/cm3): 4.59
Size of the total moment (μB per formula unit): 0.003

---

(4)
VASP calculation (GGA-PBEsol) on AlAg3C after structural relaxation.

a = 4.7003 Å, b = 4.7003 Å, c = 4.7003 Å
α = 90.00°, β = 90.00°, γ = 90.00°
With the nearest neighbours (Å) after each atom.
Atoms (fractional coordinates):
Al1 0.0000 0.0000 0.0000  6 Ag 2.35
Ag1 0.0000 0.0000 0.5000  2 Al 2.35
Ag2 0.0000 0.5000 0.0000  2 Al 2.35
Ag3 0.5000 0.0000 0.0000  2 Al 2.35
C1 0.5000 0.5000 0.5000  12 Ag 3.32

Output
Raw total energy (eV per atom): -2.806
Calculated density (g/cm3): 5.80
Energy of formation from the pure elements (meV per atom): 1928
Size of the total moment (μB per formula unit): 0.739
Energy relative to the lowest polymorph listed for this composition (eV/atom): 1.163

---

(5)
VASP calculation (GGA-PBEsol) on Al3AgC after structural relaxation.

a = 4.7187 Å, b = 4.7187 Å, c = 4.7187 Å
α = 90.00°, β = 90.00°, γ = 90.00°
With the nearest neighbours (Å) after each atom.
Atoms (fractional coordinates):
Al1 0.0000 0.0000 0.5000  2 Ag 2.36
Al2 0.0000 0.5000 0.0000  2 Ag 2.36
Al3 0.5000 0.0000 0.0000  2 Ag 2.36
Ag1 0.0000 0.0000 0.0000  6 Al 2.36
C1 0.5000 0.5000 0.5000  12 Al 3.34

Output
Raw total energy (eV per atom): -3.378
Calculated density (g/cm3): 3.17
Energy of formation from the pure elements (meV per atom): 1668
Size of the total moment (μB per formula unit): 1.883

---

(6)
VASP calculation (GGA-PBEsol) on AlAg3C after structural relaxation.

a = 4.2888 Å, b = 4.2888 Å, c = 4.2888 Å
α = 90.00°, β = 90.00°, γ = 90.00°
With the nearest neighbours (Å) after each atom.
Atoms (fractional coordinates):
Al1 0.0000 0.0000 0.0000  12 Ag 3.03
Ag1 0.0000 0.5000 0.5000  2 C 2.14
Ag2 0.5000 0.0000 0.5000  2 C 2.14
Ag3 0.5000 0.5000 0.0000  2 C 2.14
C1 0.5000 0.5000 0.5000  6 Ag 2.14

Output
Raw total energy (eV per atom): -3.969
Calculated density (g/cm3): 7.63
Energy of formation from the pure elements (meV per atom): 765
Size of the total moment (μB per formula unit): 0.000
Energy relative to the lowest polymorph listed for this composition (eV/atom): 0.000

---

(7)
VASP calculation (GGA-PBEsol) on AlAg2PdC after structural relaxation.

a = 4.2718 Å, b = 4.2718 Å, c = 3.8995 Å
α = 90.00°, β = 90.00°, γ = 90.00°
With the nearest neighbours (Å) after each atom.
Atoms (fractional coordinates):
Al1 0.0000 0.0000 0.0000  2 C 1.95
Ag1 0.0000 0.5000 0.5000  2 C 2.14
Ag2 0.5000 0.0000 0.5000  2 C 2.14
Pd1 0.5000 0.5000 0.0000  8 Ag 2.89, 4 Al 3.02
C1 0.0000 0.0000 0.5000  2 Al 1.95, 4 Ag 2.14

Output
Raw total energy (eV per atom): -4.874
Calculated density (g/cm3): 8.43
Energy of formation from the pure elements (meV per atom): 390
Size of the total moment (μB per formula unit): 0.000

---

(8)
VASP calculation (GGA-PBEsol) on Al2ZnAgC after structural relaxation.

a = 3.9412 Å, b = 3.9412 Å, c = 4.4360 Å
α = 90.00°, β = 90.00°, γ = 90.00°
With the nearest neighbours (Å) after each atom.
Atoms (fractional coordinates):
Al1 0.0000 0.5000 0.0000  2 C 1.97
Al2 0.5000 0.0000 0.0000  2 C 1.97
Zn1 0.0000 0.0000 0.5000  2 C 2.22
Ag1 0.5000 0.5000 0.5000  4 Zn 2.79, 8 Al 2.97
C1 0.0000 0.0000 0.0000  4 Al 1.97

Output
Raw total energy (eV per atom): -4.195
Calculated density (g/cm3): 5.77
Energy of formation from the pure elements (meV per atom): 349
Size of the total moment (μB per formula unit): 0.000

---

(9)
VASP calculation (GGA-PBEsol) on CaAl3Ag after structural relaxation.

a = 4.8836 Å, b = 4.8836 Å, c = 4.8836 Å
α = 90.00°, β = 90.00°, γ = 90.00°
With the nearest neighbours (Å) after each atom.
Atoms (fractional coordinates):
Ca1 0.0000 0.0000 0.0000  12 Al 3.45
Al1 0.0000 0.5000 0.5000  2 Ag 2.44
Al2 0.5000 0.0000 0.5000  2 Ag 2.44
Al3 0.5000 0.5000 0.0000  2 Ag 2.44
Ag1 0.5000 0.5000 0.5000  6 Al 2.44

Output
Raw total energy (eV per atom): -3.320
Calculated density (g/cm3): 3.26
Energy of formation from the pure elements (meV per atom): 223
Size of the total moment (μB per formula unit): 0.001

---

(10)
VASP calculation (GGA-PBEsol) on CaAlAg after structural relaxation.

a = 4.6166 Å, b = 4.6166 Å, c = 3.5723 Å
α = 90.00°, β = 90.00°, γ = 120.00°
With the nearest neighbours (Å) after each atom.
Atoms (fractional coordinates):
Ca1 0.0000 0.0000 0.0000  6 Ag 3.21, 6 Al 3.21, 2 Ca 3.57
Al1 0.6667 0.3333 0.5000  3 Ag 2.67
Ag1 0.3333 0.6667 0.5000  3 Al 2.67

Output
Raw total energy (eV per atom): -3.457
Calculated density (g/cm3): 4.41
Energy of formation from the pure elements (meV per atom): -278
Size of the total moment (μB per formula unit): 0.000

---

(11)
VASP calculation (GGA-PBEsol) on Ca3AlAg after structural relaxation.

a = 5.7450 Å, b = 5.7450 Å, c = 5.7450 Å
α = 90.00°, β = 90.00°, γ = 90.00°
With the nearest neighbours (Å) after each atom.
Atoms (fractional coordinates):
Ca1 0.0000 0.0000 0.5000  2 Al 2.87
Ca2 0.0000 0.5000 0.0000  2 Al 2.87
Ca3 0.5000 0.0000 0.0000  2 Al 2.87
Al1 0.0000 0.0000 0.0000  6 Ca 2.87
Ag1 0.5000 0.5000 0.5000  12 Ca 4.06

Output
Raw total energy (eV per atom): -2.468
Calculated density (g/cm3): 2.23
Energy of formation from the pure elements (meV per atom): 292
Size of the total moment (μB per formula unit): 0.000

---

(12)
VASP calculation (GGA-PBEsol) on CaAl2Ag2 after structural relaxation.

a = 6.5819 Å, b = 6.5819 Å, c = 6.5819 Å
α = 143.33°, β = 143.33°, γ = 52.83°
With the nearest neighbours (Å) after each atom.
Atoms (fractional coordinates):
Ca1 0.0000 0.0000 0.0000  8 Ag 3.23, 8 Al 3.60
Al1 0.2500 0.7500 0.5000  4 Ag 2.61
Al2 0.7500 0.2500 0.5000  4 Ag 2.61
Ag1 0.3848 0.3848 0.0000  4 Al 2.61, 1 Ag 2.72
Ag2 0.6152 0.6152 0.0000  4 Al 2.61, 1 Ag 2.72

Output
Raw total energy (eV per atom): -3.640
Calculated density (g/cm3): 5.09
Energy of formation from the pure elements (meV per atom): -252
Size of the total moment (μB per formula unit): 0.000

---

(13)
VASP calculation (GGA-PBEsol) on Ca2AlCuAg after structural relaxation.

a = 5.2734 Å, b = 5.2734 Å, c = 4.7200 Å
α = 90.00°, β = 90.00°, γ = 90.00°
With the nearest neighbours (Å) after each atom.
Atoms (fractional coordinates):
Ca1 0.0000 0.5000 0.0000  2 Cu 2.64
Ca2 0.5000 0.0000 0.0000  2 Cu 2.64
Al1 0.0000 0.0000 0.5000  8 Ca 3.54, 4 Ag 3.73
Cu1 0.5000 0.5000 0.0000  2 Ag 2.36, 4 Ca 2.64
Ag1 0.5000 0.5000 0.5000  2 Cu 2.36

Output
Raw total energy (eV per atom): -2.981
Calculated density (g/cm3): 3.52
Energy of formation from the pure elements (meV per atom): 220
Size of the total moment (μB per formula unit): 0.000

---

(14)
VASP calculation (GGA-PBEsol) on CaAl2NiAg after structural relaxation.

a = 4.6932 Å, b = 4.6932 Å, c = 4.8579 Å
α = 90.00°, β = 90.00°, γ = 90.00°
With the nearest neighbours (Å) after each atom.
Atoms (fractional coordinates):
Ca1 0.0000 0.0000 0.0000  4 Ni 3.32, 8 Al 3.38
Al1 0.0000 0.5000 0.5000  2 Ag 2.35
Al2 0.5000 0.0000 0.5000  2 Ag 2.35
Ni1 0.5000 0.5000 0.0000  2 Ag 2.43
Ag1 0.5000 0.5000 0.5000  4 Al 2.35, 2 Ni 2.43

Output
Raw total energy (eV per atom): -3.625
Calculated density (g/cm3): 4.04
Energy of formation from the pure elements (meV per atom): 332
Size of the total moment (μB per formula unit): 0.000